Entry 1:
# Tm4InPb3 (GGA-PBE, relaxed)
# calculated total energy	-34.982	eV per cell
data_Tm4InPb3
_cell_length_a 4.502
_cell_length_b 4.346
_cell_length_c 11.469
_cell_angle_alpha 90.00
_cell_angle_beta 90.00
_cell_angle_gamma 90.00
_space_group_name_H-M_alt 'P 1'
_space_group_IT_number 1
loop_
_space_group_symop_operation_xyz
'x,y,z'
loop_
_atom_site_label
_atom_site_fract_x
_atom_site_fract_y
_atom_site_fract_z
Pb1 0.000 0.500 0.604
Pb2 0.000 0.000 0.398
Pb3 0.500 0.000 0.905
Tm1 0.500 0.500 0.365
Tm2 0.000 0.500 0.872
Tm3 0.000 0.000 0.130
Tm4 0.500 0.000 0.631
In1 0.500 0.500 0.094

---

Entry 2:
# Tm4In2Pb (GGA-PBE, relaxed)
# E above lowest polymorph	0.38	eV per formula unit
data_Tm4In2Pb
_cell_length_a 5.206
_cell_length_b 5.206
_cell_length_c 9.096
_cell_angle_alpha 73.37
_cell_angle_beta 73.37
_cell_angle_gamma 60.00
_space_group_name_H-M_alt 'P 1'
_space_group_IT_number 1
loop_
_space_group_symop_operation_xyz
'x,y,z'
loop_
_atom_site_label
_atom_site_fract_x
_atom_site_fract_y
_atom_site_fract_z
Pb1 0.000 0.000 0.000
Tm1 0.873 0.873 0.382
Tm2 0.127 0.127 0.618
Tm3 0.619 0.619 0.143
Tm4 0.381 0.381 0.857
In1 0.755 0.755 0.735
In2 0.245 0.245 0.265

---

Entry 3:
# Tm2InPb4 (GGA-PBE, relaxed)
# E above lowest polymorph	1.10	eV per formula unit
data_Tm2InPb4
_cell_length_a 3.529
_cell_length_b 8.197
_cell_length_c 8.472
_cell_angle_alpha 118.26
_cell_angle_beta 102.02
_cell_angle_gamma 90.00
_space_group_name_H-M_alt 'P 1'
_space_group_IT_number 1
loop_
_space_group_symop_operation_xyz
'x,y,z'
loop_
_atom_site_label
_atom_site_fract_x
_atom_site_fract_y
_atom_site_fract_z
Tm1 0.781 0.853 0.561
Tm2 0.219 0.147 0.439
In1 0.000 0.000 0.000
Pb1 0.918 0.286 0.837
Pb2 0.082 0.714 0.163
Pb3 0.649 0.406 0.297
Pb4 0.351 0.594 0.703

---

Copy entry 3 word for word.
# Tm2InPb4 (GGA-PBE, relaxed)
# E above lowest polymorph	1.10	eV per formula unit
data_Tm2InPb4
_cell_length_a 3.529
_cell_length_b 8.197
_cell_length_c 8.472
_cell_angle_alpha 118.26
_cell_angle_beta 102.02
_cell_angle_gamma 90.00
_space_group_name_H-M_alt 'P 1'
_space_group_IT_number 1
loop_
_space_group_symop_operation_xyz
'x,y,z'
loop_
_atom_site_label
_atom_site_fract_x
_atom_site_fract_y
_atom_site_fract_z
Tm1 0.781 0.853 0.561
Tm2 0.219 0.147 0.439
In1 0.000 0.000 0.000
Pb1 0.918 0.286 0.837
Pb2 0.082 0.714 0.163
Pb3 0.649 0.406 0.297
Pb4 0.351 0.594 0.703